Density functional theory data (PBE) for a geometry-optimized Tb2Dy7Y2 structure.

Calculated values
Energy relative to the lowest polymorph listed for this composition in meV per atom: 44
E_form in eV/atom: 0.179
Mass density in kg/m³: 7549
Final energy in eV/atom: -4.7666
Space group: No. 12

abc: 8.333 6.664 6.664
angles: 88.52 80.17 80.17
Element x y z (fractional)
Tb1 0.843 0.401 0.401
Tb2 0.157 0.599 0.599
Dy1 0.181 0.102 0.506
Dy2 0.819 0.494 0.898
Dy3 0.819 0.898 0.494
Dy4 0.181 0.506 0.102
Dy5 0.000 0.000 0.000
Dy6 0.485 0.693 0.693
Dy7 0.515 0.307 0.307
Y1 0.500 0.187 0.813
Y2 0.500 0.813 0.187

---

Density functional theory data (PBE) for a geometry-optimized Tb5Dy3Y2 structure.

Calculated values
Energy relative to the lowest polymorph listed for this composition in meV per atom: 0
E_form in eV/atom: 0.202
Mass density in kg/m³: 7352
Final energy in eV/atom: -4.7861
Space group: No. 15

abc: 9.607 9.578 11.145
angles: 126.61 126.67 67.25
Element x y z (fractional)
Tb1 0.276 0.526 0.051
Tb2 0.724 0.474 0.949
Tb3 0.020 0.770 0.539
Tb4 0.527 0.277 0.554
Tb5 0.980 0.230 0.461
Tb6 0.473 0.723 0.446
Tb7 0.857 0.607 0.752
Tb8 0.143 0.393 0.248
Tb9 0.395 0.145 0.752
Tb10 0.605 0.855 0.248
Dy1 0.228 0.978 0.956
Dy2 0.772 0.022 0.044
Dy3 0.732 0.464 0.244
Dy4 0.268 0.536 0.756
Dy5 0.012 0.780 0.244
Dy6 0.988 0.220 0.756
Y1 0.781 0.011 0.745
Y2 0.219 0.989 0.255
Y3 0.465 0.734 0.745
Y4 0.535 0.266 0.255

---

Density functional theory data (PBE) for a geometry-optimized TbDy2Y6 structure.

Calculated values
Energy relative to the lowest polymorph listed for this composition in meV per atom: 31
E_form in eV/atom: 0.100
Mass density in kg/m³: 5795
Final energy in eV/atom: -5.7461
Space group: No. 15

abc: 6.555 9.592 9.592
angles: 96.01 80.98 80.98
Element x y z (fractional)
Tb1 0.250 0.120 0.880
Tb2 0.750 0.880 0.120
Dy1 0.131 0.616 0.662
Dy2 0.369 0.338 0.384
Dy3 0.869 0.384 0.338
Dy4 0.631 0.662 0.616
Y1 0.504 0.649 0.277
Y2 0.996 0.723 0.351
Y3 0.496 0.351 0.723
Y4 0.004 0.277 0.649
Y5 0.726 0.062 0.459
Y6 0.774 0.541 0.938
Y7 0.274 0.938 0.541
Y8 0.226 0.459 0.062
Y9 0.313 0.778 0.950
Y10 0.187 0.050 0.222
Y11 0.687 0.222 0.050
Y12 0.813 0.950 0.778

---

Density functional theory data (PBE) for a geometry-optimized Tb2Dy3Y3 structure.

Calculated values
Energy relative to the lowest polymorph listed for this composition in meV per atom: 216
E_form in eV/atom: 0.238
Mass density in kg/m³: 6679
Final energy in eV/atom: -5.0697
Space group: No. 155

abc: 6.452 6.452 6.452
angles: 94.17 94.17 85.83
Last column: magnetic moment on the atom in μB.
Element x y z (fractional)
Tb1 0.249 0.249 0.751  0.56
Tb2 0.751 0.751 0.249  0.56
Dy1 0.233 0.767 0.000  0.47
Dy2 0.000 0.233 0.233  0.47
Dy3 0.767 0.000 0.767  0.47
Y1 0.265 0.735 0.500  0.34
Y2 0.500 0.265 0.265  0.34
Y3 0.735 0.500 0.735  0.34

---

Density functional theory data (PBE) for a geometry-optimized Tb10Dy4Y structure.

Calculated values
E_form in eV/atom: 0.731
Mass density in kg/m³: 6788
Final energy in eV/atom: -4.0139
Space group: No. 87

abc: 7.695 9.424 9.424
angles: 80.41 65.91 65.91
Element x y z (fractional)
Tb1 0.250 0.500 0.500
Tb2 0.649 0.301 0.899
Tb3 0.050 0.101 0.301
Tb4 0.452 0.899 0.699
Tb5 0.849 0.699 0.101
Tb6 0.351 0.699 0.101
Tb7 0.750 0.500 0.500
Tb8 0.151 0.301 0.899
Tb9 0.548 0.101 0.301
Tb10 0.950 0.899 0.699
Dy1 0.400 0.801 0.400
Dy2 0.800 0.600 0.801
Dy3 0.200 0.400 0.199
Dy4 0.600 0.199 0.600
Y1 0.000 0.000 0.000

---

Density functional theory data (PBE) for a geometry-optimized Tb10DyY4 structure.

Calculated values
E_form in eV/atom: 0.748
Mass density in kg/m³: 6094
Final energy in eV/atom: -4.3692
Space group: No. 87

abc: 7.716 9.450 9.450
angles: 80.40 65.90 65.90
Element x y z (fractional)
Tb1 0.250 0.500 0.500
Tb2 0.652 0.299 0.900
Tb3 0.049 0.100 0.299
Tb4 0.448 0.900 0.701
Tb5 0.850 0.701 0.100
Tb6 0.348 0.701 0.100
Tb7 0.750 0.500 0.500
Tb8 0.150 0.299 0.900
Tb9 0.552 0.100 0.299
Tb10 0.951 0.900 0.701
Dy1 0.000 0.000 0.000
Y1 0.400 0.801 0.400
Y2 0.799 0.600 0.801
Y3 0.201 0.400 0.199
Y4 0.600 0.199 0.600

---

Density functional theory data (PBE) for a geometry-optimized Tb2DyY3 structure.

Calculated values
Energy relative to the lowest polymorph listed for this composition in meV per atom: 96
E_form in eV/atom: 0.117
Mass density in kg/m³: 6329
Final energy in eV/atom: -5.4250
Space group: No. 12

abc: 3.507 9.053 12.923
angles: 78.23 82.20 78.83
Element x y z (fractional)
Tb1 0.819 0.480 0.883
Tb2 0.181 0.520 0.117
Tb3 0.657 0.154 0.531
Tb4 0.343 0.846 0.469
Dy1 0.438 0.482 0.643
Dy2 0.562 0.518 0.357
Y1 0.038 0.138 0.786
Y2 0.962 0.862 0.214
Y3 0.599 0.827 0.975
Y4 0.401 0.173 0.025
Y5 0.739 0.814 0.707
Y6 0.261 0.186 0.293

---

Density functional theory data (PBE) for a geometry-optimized TbDy5Y5 structure.

Calculated values
Energy relative to the lowest polymorph listed for this composition in meV per atom: 159
E_form in eV/atom: 0.306
Mass density in kg/m³: 6389
Final energy in eV/atom: -5.1454
Space group: No. 187

abc: 6.086 6.086 11.472
angles: 90.00 90.00 120.00
Element x y z (fractional)
Tb1 0.333 0.667 0.000
Dy1 0.337 0.168 0.500
Dy2 0.000 0.000 0.265
Dy3 0.832 0.663 0.500
Dy4 0.832 0.168 0.500
Dy5 0.000 0.000 0.735
Y1 0.667 0.333 0.159
Y2 0.667 0.333 0.841
Y3 0.333 0.667 0.320
Y4 0.333 0.667 0.680
Y5 0.000 0.000 0.000

---

Density functional theory data (PBE) for a geometry-optimized Tb5Dy7Y structure.

Calculated values
E_form in eV/atom: 0.251
Mass density in kg/m³: 7835
Final energy in eV/atom: -4.5056
Space group: No. 44

abc: 6.664 8.684 8.684
angles: 79.79 67.44 67.44
Element x y z (fractional)
Tb1 0.462 0.998 0.542
Tb2 0.998 0.998 0.542
Tb3 0.462 0.542 0.998
Tb4 0.998 0.542 0.998
Tb5 0.732 0.768 0.768
Dy1 0.725 0.275 0.275
Dy2 0.422 0.578 0.578
Dy3 0.983 0.349 0.685
Dy4 0.983 0.685 0.349
Dy5 0.237 0.263 0.263
Dy6 0.482 0.846 0.190
Dy7 0.482 0.190 0.846
Y1 0.034 0.966 0.966

---

Density functional theory data (PBE) for a geometry-optimized TbDy12Y6 structure.

Calculated values
Energy relative to the lowest polymorph listed for this composition in meV per atom: 0
E_form in eV/atom: 0.214
Mass density in kg/m³: 6958
Final energy in eV/atom: -4.9772
Space group: No. 166

abc: 8.683 8.683 8.683
angles: 98.51 98.51 98.51
Element x y z (fractional)
Tb1 0.000 0.000 0.000
Dy1 0.757 0.243 0.500
Dy2 0.355 0.082 0.355
Dy3 0.355 0.355 0.082
Dy4 0.918 0.645 0.645
Dy5 0.645 0.645 0.918
Dy6 0.645 0.918 0.645
Dy7 0.500 0.757 0.243
Dy8 0.243 0.500 0.757
Dy9 0.243 0.757 0.500
Dy10 0.500 0.243 0.757
Dy11 0.757 0.500 0.243
Dy12 0.082 0.355 0.355
Y1 0.899 0.341 0.899
Y2 0.899 0.899 0.341
Y3 0.341 0.899 0.899
Y4 0.101 0.101 0.659
Y5 0.101 0.659 0.101
Y6 0.659 0.101 0.101